No. 1
Entry from Alexandria via LeMat-Bulk: crystalline Ho4Ag2Pt at its relaxed geometry (PBE).

Crystal system: trigonal
DOS(E_F) in states/eV per cell: 6.7
E in eV per atom: -4.751
ΔE_f in eV/f.u.: -3.2

```
Ho4Ag2Pt
1.0
4.7782 0.0000 1.4928
2.1559 4.2642 1.4928
-0.0969 -0.0596 8.7034
Ag Ho Pt
2 4 1
direct
0.2458 0.2458 0.2626
0.7542 0.7542 0.7374
0.3726 0.3726 0.8822
0.8776 0.8776 0.3673
0.1224 0.1224 0.6327
0.6274 0.6274 0.1178
0.0000 0.0000 0.0000
```

***

No. 2
Entry from Alexandria via LeMat-Bulk: crystalline LiHfPd2 at its relaxed geometry (PBE).

Excess energy over the best structure of this formula in the dataset in meV/atom: 0
Crystal system: tetragonal
DOS(E_F) in states/eV per cell: 1.2
E in eV per atom: -6.212
ΔE_f in eV/f.u.: -2.6

```
LiHfPd2
1.0
-2.2178 -1.6668 1.6456
1.1613 -2.7506 -1.2208
3.9258 -0.4766 4.8083
Hf Pd Li
1 2 1
direct
0.5000 0.5000 0.5000
0.0000 0.0000 0.7634
0.0000 0.0000 0.2366
0.5000 0.5000 0.0000
```

***

No. 3
Entry from Alexandria via LeMat-Bulk: crystalline Li3Ce3CrS8 at its relaxed geometry (PBE).

Crystal system: trigonal
DOS(E_F) in states/eV per cell: 13.3
E in eV per atom: -5.932
Formation energy from raw total energies in eV per atom: -1.5191

```
Li3Ce3CrS8
1.0
7.8882 0.0005 -0.0015
-3.9436 6.8270 -0.0222
-0.0022 -4.5321 6.1137
S Ce Li Cr
8 3 3 1
direct
0.2276 0.0076 0.7347
0.2197 0.9924 0.2654
0.7536 0.5070 0.7604
0.7803 0.0076 0.7346
0.7724 0.9924 0.2653
0.2275 0.4548 0.7345
0.2464 0.4930 0.2396
0.7725 0.5452 0.2655
0.5000 0.0000 0.5000
0.5000 0.5000 0.5000
0.0000 0.5000 0.5000
0.0000 0.5000 0.0000
0.0000 0.0000 0.0000
0.5000 0.5000 0.0000
0.0000 0.0000 0.5000
```

***

No. 4
Entry from Alexandria via LeMat-Bulk: crystalline CeTh2TaN4 at its relaxed geometry (PBE).

Crystal system: orthorhombic
DOS(E_F) in states/eV per cell: 15.1
E in eV per atom: -9.401
Formation energy from raw total energies in eV per atom: -1.1597

```
CeTh2TaN4
1.0
3.4601 0.0000 0.0000
-1.7301 6.1296 0.0000
0.0000 0.0000 12.5828
Ta N Th Ce
2 8 4 2
direct
0.8299 0.6599 0.7500
0.1701 0.3401 0.2500
0.7253 0.4507 0.6288
0.2747 0.5493 0.1288
0.5604 0.1209 0.2500
0.0000 0.0000 0.0000
0.4396 0.8791 0.7500
0.2747 0.5493 0.3712
0.7253 0.4507 0.8712
0.0000 0.0000 0.5000
0.6318 0.2635 0.0417
0.6318 0.2635 0.4583
0.3682 0.7365 0.5417
0.3682 0.7365 0.9583
0.9060 0.8119 0.2500
0.0940 0.1881 0.7500
```

***

No. 5
Entry from Alexandria via LeMat-Bulk: crystalline ScZnSn2 at its relaxed geometry (PBE).

Crystal system: trigonal
DOS(E_F) in states/eV per cell: 1.9
E in eV per atom: -3.773
ΔE_f in eV/f.u.: 0.5

```
ScZnSn2
1.0
3.3461 0.0000 0.0000
1.6731 2.8978 0.0000
1.6731 0.9659 10.2658
Sn Zn Sc
2 1 1
direct
0.0953 0.0953 0.7141
0.9047 0.9047 0.2858
0.5000 0.5000 0.5000
0.0000 0.0000 0.0000
```

***

No. 6
Entry from Alexandria via LeMat-Bulk: crystalline V2Cu2Tc at its relaxed geometry (PBE).

Excess energy over the best structure of this formula in the dataset in meV/atom: 156
Crystal system: tetragonal
DOS(E_F) in states/eV per cell: 10.9
E in eV per atom: -6.928
ΔE_f in eV/f.u.: 2.2

```
V2Cu2Tc
1.0
6.3407 0.0000 0.0000
0.0000 6.3407 0.0000
0.0000 0.0000 3.4515
V Tc Cu
4 2 4
direct
0.8582 0.6418 0.0000
0.1418 0.3582 0.0000
0.3582 0.8582 0.0000
0.6418 0.1418 0.0000
0.5000 0.5000 0.0000
0.0000 0.0000 0.0000
0.8463 0.3463 0.5000
0.1537 0.6537 0.5000
0.6537 0.8463 0.5000
0.3463 0.1537 0.5000
```

***

No. 7
Entry from Alexandria via LeMat-Bulk: crystalline Rb4Ag3Cl12 at its relaxed geometry (PBE).

Crystal system: cubic
DOS(E_F) in states/eV per cell: 9.1
E in eV per atom: -2.807
Formation energy from raw total energies in eV per atom: -0.9870

```
Rb4Ag3Cl12
1.0
9.3827 0.0000 -3.3173
-4.6914 8.1257 -3.3173
0.0000 0.0000 9.9519
Rb Cl Ag
4 12 3
direct
0.5000 0.0000 0.0000
0.0000 0.5000 0.0000
0.0000 0.0000 0.5000
0.5000 0.5000 0.5000
0.3536 0.2077 0.8541
0.3536 0.4995 0.1459
0.4995 0.1459 0.3536
0.5005 0.8541 0.6464
0.2077 0.8541 0.3536
0.8541 0.6464 0.5005
0.7923 0.1459 0.6464
0.1459 0.6464 0.7923
0.8541 0.3536 0.2077
0.6464 0.5005 0.8541
0.6464 0.7923 0.1459
0.1459 0.3536 0.4995
0.0000 0.5000 0.5000
0.5000 0.5000 0.0000
0.5000 0.0000 0.5000
```

***

No. 8
Entry from Alexandria via LeMat-Bulk: crystalline BAsPd at its relaxed geometry (PBE).

Excess energy over the best structure of this formula in the dataset in meV/atom: 125
Crystal system: monoclinic
DOS(E_F) in states/eV per cell: 1.4
E in eV per atom: -5.413
ΔE_f in eV/f.u.: 0.3

```
BAsPd
1.0
-1.6112 -2.2953 -3.0947
-0.2681 -2.8474 2.2515
-5.1653 2.4673 2.5053
As B Pd
2 2 2
direct
0.9676 0.8020 0.2991
0.0324 0.8020 0.7009
0.0784 0.3149 0.8815
0.9216 0.3149 0.1185
0.5517 0.1739 0.7874
0.4483 0.1739 0.2126
```

***

No. 9
Entry from Alexandria via LeMat-Bulk: crystalline Na2MgOsRh at its relaxed geometry (PBE).

Crystal system: tetragonal
DOS(E_F) in states/eV per cell: 6.3
E in eV per atom: -2.941
ΔE_f in eV/f.u.: 8.1

```
Na2MgOsRh
1.0
-4.2024 2.1281 -0.5352
-1.9980 -3.1715 3.0781
1.0006 2.8874 3.6245
Mg Na Rh Os
1 2 1 1
direct
0.0000 0.0000 0.0000
0.5000 0.0000 0.0000
0.0000 0.0000 0.5000
0.5000 0.5000 0.5000
0.0000 0.5000 0.0000
```

***

No. 10
Entry from Alexandria via LeMat-Bulk: crystalline Na2Pb2Au at its relaxed geometry (PBE).

Excess energy over the best structure of this formula in the dataset in meV/atom: 61
Crystal system: monoclinic
DOS(E_F) in states/eV per cell: 3.8
E in eV per atom: -2.823
ΔE_f in eV/f.u.: -0.8

```
Na2Pb2Au
1.0
0.5615 4.7768 -3.8636
2.7375 -4.8353 -2.6809
-8.5014 -1.9289 -0.0354
Pb Au Na
4 2 4
direct
0.8143 0.3889 0.7129
0.3889 0.8143 0.7129
0.1857 0.6111 0.2871
0.6111 0.1857 0.2871
0.2501 0.7499 0.0000
0.7499 0.2501 0.0000
0.7777 0.7777 0.0551
0.2223 0.2223 0.9449
0.2216 0.2216 0.4958
0.7784 0.7784 0.5042
```

***

No. 11
Entry from Alexandria via LeMat-Bulk: crystalline TlPRh2 at its relaxed geometry (PBE).

Crystal system: orthorhombic
DOS(E_F) in states/eV per cell: 2.9
E in eV per atom: -5.745
ΔE_f in eV/f.u.: -0.5

```
TlPRh2
1.0
3.0107 0.0000 0.0000
0.0000 3.6730 0.0000
0.0000 0.0000 6.2063
Rh P Tl
2 1 1
direct
0.5000 0.5000 0.2224
0.0000 0.0000 0.9464
0.5000 0.5000 0.8576
0.0000 0.0000 0.4737
```

***

No. 12
Entry from Alexandria via LeMat-Bulk: crystalline ZrZnTe2 at its relaxed geometry (PBE).

Crystal system: orthorhombic
DOS(E_F) in states/eV per cell: 1.1
E in eV per atom: -4.590
Formation energy from raw total energies in eV per atom: -0.5640

```
ZrZnTe2
1.0
-6.7142 -1.8943 -3.9235
-5.6393 -5.6796 -0.0577
4.7233 5.1583 3.8916
Zr Te Zn
1 2 1
direct
0.3236 0.8236 0.5000
0.9829 0.9829 0.0000
0.7412 0.2412 0.5000
0.4522 0.4522 0.0000
```

***

Question: What is the E in the tenth record?
Answer: -2.823 eV per atom

***

Question: What is the formula in the first record?
Answer: Ho4Ag2Pt